## CoReB (GGA-PBEsol)

Data for a relaxed CoReB crystal.

Structure (CIF):
```
data_CoReB
_cell_length_a 3.2715
_cell_length_b 5.5577
_cell_length_c 6.4315
_cell_angle_alpha 90.00
_cell_angle_beta 90.00
_cell_angle_gamma 90.00
_space_group_name_H-M_alt 'P 1'
_space_group_IT_number 1
loop_
_space_group_symop_operation_xyz
'x,y,z'
loop_
_atom_site_label
_atom_site_type_symbol
_atom_site_fract_x
_atom_site_fract_y
_atom_site_fract_z
_atom_site_occupancy
Co1 Co 0.2500 0.1450 0.5563 1
Co2 Co 0.2500 0.6450 0.9437 1
Co3 Co 0.7500 0.8550 0.4437 1
Co4 Co 0.7500 0.3550 0.0563 1
Re1 Re 0.7500 0.9709 0.8279 1
Re2 Re 0.2500 0.0291 0.1721 1
Re3 Re 0.7500 0.4709 0.6721 1
Re4 Re 0.2500 0.5291 0.3279 1
B1 B 0.2500 0.2692 0.8757 1
B2 B 0.7500 0.7308 0.1243 1
B3 B 0.7500 0.2308 0.3757 1
B4 B 0.2500 0.7692 0.6243 1
```

VASP energy   -9.710 eV/atom
Total magnetic moment   0.000 μB/atom
Energy of formation from the pure elements   -0.35 eV/atom